Entry 1:
ErUTl | PBE | optimized geometry

Values from the calculation:
* theoretical density: 12.99 g/cm3
* SG: Cmcm
* DOS at the Fermi energy: 1.59 states/eV per atom
* DFT formation energy: 0.1084 eV/atom
* spin magnetization: 0.55 μB per atom

Cell lengths 9.7870, 9.7870, 4.8618 Å; angles 90.00, 90.00, 160.44 degrees
Last column: nearest neighbours and their distance in Å.
Fractional positions:
Er 0.1243 0.8757 0.7500  5 Tl 3.31-3.34, 2 Er 3.33, 6 U 3.35-3.50
Er 0.8757 0.1243 0.2500  5 Tl 3.31-3.34, 2 Er 3.33, 6 U 3.35-3.50
U 0.4737 0.5263 0.7500  2 U 2.63
U 0.5263 0.4737 0.2500  2 U 2.63
Tl 0.2973 0.7027 0.7500  5 Er 3.31-3.34, 6 Tl 3.33-3.47, 1 U 3.40
Tl 0.7027 0.2973 0.2500  5 Er 3.31-3.34, 6 Tl 3.33-3.47, 1 U 3.40

Entry 2:
Y3Er4Tl4 | PBE | optimized geometry

Values from the calculation:
* theoretical density: 8.99 g/cm3
* SG: Immm
* DOS at the Fermi energy: 1.06 states/eV per atom
* DFT formation energy: -0.2308 eV/atom
* spin magnetization: 0.17 μB per atom

Cell lengths 10.4680, 10.4680, 10.4680 Å; angles 159.61, 125.49, 58.81 degrees
Last column: nearest neighbours and their distance in Å.
Fractional positions:
Y 0.0000 0.0000 0.0000  4 Tl 3.24
Y 0.4016 0.9016 0.5000  6 Tl 3.15-3.35
Y 0.5984 0.0984 0.5000  6 Tl 3.15-3.35
Er 0.0299 0.3341 0.6958  4 Tl 3.13-3.20
Er 0.3617 0.6659 0.6958  4 Tl 3.13-3.20
Er 0.6383 0.3341 0.3042  4 Tl 3.13-3.20
Er 0.9701 0.6659 0.3042  4 Tl 3.13-3.20
Tl 0.2621 0.2621 0.0000  2 Y 3.15, 6 Er 3.17-3.20
Tl 0.2774 0.5000 0.7774  2 Er 3.13, 6 Y 3.24-3.35
Tl 0.7226 0.5000 0.2226  2 Er 3.13, 6 Y 3.24-3.35
Tl 0.7379 0.7379 0.0000  2 Y 3.15, 6 Er 3.17-3.20

Entry 3:
Y7Er12Tl | PBE | optimized geometry

Values from the calculation:
* theoretical density: 7.42 g/cm3
* SG: R-3
* DOS at the Fermi energy: 1.79 states/eV per atom
* DFT formation energy: 0.1754 eV/atom
* spin magnetization: 0.00 μB per atom

Cell lengths 8.5961, 8.5961, 8.5961 Å; angles 88.28, 88.28, 88.28 degrees
Last column: nearest neighbours and their distance in Å.
Fractional positions:
Y 0.0000 0.0000 0.0000  6 Er 3.20
Y 0.1110 0.4345 0.3523  3 Y 3.33-3.49, 5 Er 3.47-3.71, 1 Tl 3.68
Y 0.3523 0.1110 0.4345  3 Y 3.33-3.49, 5 Er 3.47-3.71, 1 Tl 3.68
Y 0.4345 0.3523 0.1110  3 Y 3.33-3.49, 5 Er 3.47-3.71, 1 Tl 3.68
Y 0.5655 0.6477 0.8890  3 Y 3.33-3.49, 5 Er 3.47-3.71, 1 Tl 3.68
Y 0.6477 0.8890 0.5655  3 Y 3.33-3.49, 5 Er 3.47-3.71, 1 Tl 3.68
Y 0.8890 0.5655 0.6477  3 Y 3.33-3.49, 5 Er 3.47-3.71, 1 Tl 3.68
Er 0.0002 0.1155 0.6423  4 Er 3.20-3.43, 2 Y 3.20-3.47
Er 0.9998 0.8845 0.3577  4 Er 3.20-3.43, 2 Y 3.20-3.47
Er 0.1155 0.6423 0.0002  4 Er 3.20-3.43, 2 Y 3.20-3.47
Er 0.2438 0.3666 0.7562  5 Er 3.24-3.48, 1 Tl 3.27, 2 Y 3.50-3.59
Er 0.2438 0.7562 0.6334  5 Er 3.24-3.48, 1 Tl 3.27, 2 Y 3.50-3.59
Er 0.3577 0.9998 0.8845  4 Er 3.20-3.43, 2 Y 3.20-3.47
Er 0.3666 0.7562 0.2438  5 Er 3.24-3.48, 1 Tl 3.27, 2 Y 3.50-3.59
Er 0.6334 0.2438 0.7562  5 Er 3.24-3.48, 1 Tl 3.27, 2 Y 3.50-3.59
Er 0.6423 0.0002 0.1155  4 Er 3.20-3.43, 2 Y 3.20-3.47
Er 0.7562 0.2438 0.3666  5 Er 3.24-3.48, 1 Tl 3.27, 2 Y 3.50-3.59
Er 0.7562 0.6334 0.2438  5 Er 3.24-3.48, 1 Tl 3.27, 2 Y 3.50-3.59
Er 0.8845 0.3577 0.9998  4 Er 3.20-3.43, 2 Y 3.20-3.47
Tl 0.5000 0.5000 0.5000  6 Er 3.27

Entry 4:
YEr12Tl3 | PBE | optimized geometry

Values from the calculation:
* theoretical density: 9.80 g/cm3
* SG: P4/mmm
* DOS at the Fermi energy: 1.26 states/eV per atom
* DFT formation energy: -0.1175 eV/atom
* spin magnetization: 0.00 μB per atom

Cell lengths 4.8267, 4.8267, 19.6951 Å; angles 90.00, 90.00, 90.00 degrees
Last column: nearest neighbours and their distance in Å.
Fractional positions:
Y 0.0000 0.0000 0.0000  12 Er 3.41-3.52
Er 0.0000 0.5000 0.1302  8 Er 3.41-3.52, 2 Tl 3.47, 2 Y 3.52
Er 0.0000 0.5000 0.3774  4 Tl 3.39-3.41, 8 Er 3.41
Er 0.0000 0.5000 0.6226  4 Tl 3.39-3.41, 8 Er 3.41
Er 0.0000 0.5000 0.8698  8 Er 3.41-3.52, 2 Tl 3.47, 2 Y 3.52
Er 0.5000 0.0000 0.1302  8 Er 3.41-3.52, 2 Tl 3.47, 2 Y 3.52
Er 0.5000 0.0000 0.3774  4 Tl 3.39-3.41, 8 Er 3.41
Er 0.5000 0.0000 0.6226  4 Tl 3.39-3.41, 8 Er 3.41
Er 0.5000 0.0000 0.8698  8 Er 3.41-3.52, 2 Tl 3.47, 2 Y 3.52
Er 0.5000 0.5000 0.0000  4 Y 3.41, 8 Er 3.52
Er 0.5000 0.5000 0.2552  8 Er 3.41-3.45, 4 Tl 3.41
Er 0.5000 0.5000 0.5000  4 Tl 3.41, 8 Er 3.41
Er 0.5000 0.5000 0.7448  8 Er 3.41-3.45, 4 Tl 3.41
Tl 0.0000 0.0000 0.2567  12 Er 3.39-3.47
Tl 0.0000 0.0000 0.5000  12 Er 3.41
Tl 0.0000 0.0000 0.7433  12 Er 3.39-3.47

Entry 5:
YErTl2 | PBE | optimized geometry

Values from the calculation:
* theoretical density: 10.16 g/cm3
* SG: Fm-3m
* DOS at the Fermi energy: 0.72 states/eV per atom
* DFT formation energy: -0.3451 eV/atom
* spin magnetization: 0.00 μB per atom

Cell lengths 5.3558, 5.3558, 5.3558 Å; angles 60.00, 60.00, 60.00 degrees
Last column: nearest neighbours and their distance in Å.
Fractional positions:
Y 0.0000 0.0000 0.0000  8 Tl 3.28
Er 0.5000 0.5000 0.5000  8 Tl 3.28
Tl 0.2500 0.2500 0.2500  4 Er 3.28, 4 Y 3.28
Tl 0.7500 0.7500 0.7500  4 Er 3.28, 4 Y 3.28

Entry 6:
YEr4Tl | PBE | optimized geometry

Values from the calculation:
* theoretical density: 8.76 g/cm3
* SG: C2/c
* DOS at the Fermi energy: 1.16 states/eV per atom
* DFT formation energy: -0.0143 eV/atom
* spin magnetization: 0.00 μB per atom

Cell lengths 8.2150, 8.2150, 6.3983 Å; angles 99.54, 99.54, 116.97 degrees
Last column: nearest neighbours and their distance in Å.
Fractional positions:
Y 0.0888 0.9112 0.7500  8 Er 3.46-3.60
Y 0.9112 0.0888 0.2500  8 Er 3.46-3.60
Er 0.0854 0.3419 0.8807  3 Er 3.23-3.52, 2 Tl 3.34-3.36, 2 Y 3.46-3.51
Er 0.2137 0.5946 0.4612  2 Tl 3.20-3.21, 5 Er 3.23-3.58, 1 Y 3.56
Er 0.3419 0.0854 0.3807  3 Er 3.23-3.52, 2 Tl 3.34-3.36, 2 Y 3.46-3.51
Er 0.4054 0.7863 0.0388  2 Tl 3.20-3.21, 5 Er 3.23-3.58, 1 Y 3.56
Er 0.5946 0.2137 0.9612  2 Tl 3.20-3.21, 5 Er 3.23-3.58, 1 Y 3.56
Er 0.6581 0.9146 0.6193  3 Er 3.23-3.52, 2 Tl 3.34-3.36, 2 Y 3.46-3.51
Er 0.7863 0.4054 0.5388  2 Tl 3.20-3.21, 5 Er 3.23-3.58, 1 Y 3.56
Er 0.9146 0.6581 0.1193  3 Er 3.23-3.52, 2 Tl 3.34-3.36, 2 Y 3.46-3.51
Tl 0.4998 0.5002 0.2500  2 Tl 3.20, 8 Er 3.20-3.36
Tl 0.5002 0.4998 0.7500  2 Tl 3.20, 8 Er 3.20-3.36